Record 1
Material: La2Pr6Er3Mg
Method: DFT, PBE
State: optimized geometry

a = 6.294 Å, b = 6.294 Å, c = 11.990 Å
α = 95.07°, β = 95.07°, γ = 120.06°
Fractional coordinates of all 12 atoms:
La  0.167  0.833  0.000
La  0.833  0.167  0.000
Pr  0.087  0.416  0.745
Pr  0.254  0.254  0.255
Pr  0.416  0.087  0.745
Pr  0.584  0.913  0.255
Pr  0.746  0.746  0.745
Pr  0.913  0.584  0.255
Er  0.000  0.000  0.500
Er  0.334  0.666  0.500
Er  0.666  0.334  0.500
Mg  0.500  0.500  0.000

Values from the calculation:
energy relative to the elements: 0.008 eV per atom
spin magnetization: 0.00 μB per atom
DFT total energy: -4.48 eV/atom
SG: C2/m (12)

***

Record 2
Material: TbEuBi2
Method: DFT, PBE
State: optimized geometry

a = 3.843 Å, b = 3.843 Å, c = 8.492 Å
α = 90.00°, β = 90.00°, γ = 90.00°
Fractional coordinates of all 4 atoms:
Tb  0.000  0.000  0.000
Eu  0.000  0.000  0.500
Bi  0.500  0.500  0.236
Bi  0.500  0.500  0.764

Values from the calculation:
energy relative to the elements: -0.693 eV per atom
spin magnetization: 1.77 μB per atom
DFT total energy: -6.36 eV/atom
SG: P4/mmm (123)

***

Record 3
Material: Ta2CuAg
Method: DFT, PBE
State: optimized geometry

a = 4.419 Å, b = 2.690 Å, c = 11.182 Å
α = 90.00°, β = 90.00°, γ = 90.00°
Fractional coordinates of all 8 atoms:
Ta  0.000  0.000  0.000
Ta  0.000  0.500  0.500
Ta  0.500  0.000  0.357
Ta  0.500  0.500  0.857
Cu  0.000  0.000  0.749
Cu  0.000  0.500  0.249
Ag  0.500  0.000  0.622
Ag  0.500  0.500  0.122

Values from the calculation:
energy relative to the elements: 0.250 eV per atom
spin magnetization: 0.00 μB per atom
DFT total energy: -7.41 eV/atom
SG: Amm2 (38)

***

Record 4
Material: Dy2TcNi3P4
Method: DFT, PBE
State: optimized geometry

a = 3.994 Å, b = 3.994 Å, c = 9.290 Å
α = 90.00°, β = 90.00°, γ = 90.00°
Fractional coordinates of all 10 atoms:
Dy  0.000  0.500  0.235
Dy  0.500  0.000  0.765
Tc  0.000  0.000  0.500
Ni  0.000  0.500  0.884
Ni  0.500  0.000  0.116
Ni  0.500  0.500  0.500
P  0.000  0.000  0.000
P  0.000  0.500  0.639
P  0.500  0.000  0.361
P  0.500  0.500  0.000

Values from the calculation:
energy relative to the elements: -0.956 eV per atom
spin magnetization: 0.00 μB per atom
DFT total energy: -6.81 eV/atom
SG: P-4m2 (115)

***

Record 5
Material: RbCePr2
Method: DFT, PBE
State: optimized geometry

a = 4.329 Å, b = 4.329 Å, c = 32.545 Å
α = 90.00°, β = 90.00°, γ = 120.00°
Fractional coordinates of all 12 atoms:
Rb  0.000  0.000  0.000
Rb  0.333  0.667  0.667
Rb  0.667  0.333  0.333
Ce  0.000  0.000  0.500
Ce  0.333  0.667  0.167
Ce  0.667  0.333  0.833
Pr  0.000  0.000  0.119
Pr  0.000  0.000  0.881
Pr  0.333  0.667  0.547
Pr  0.333  0.667  0.786
Pr  0.667  0.333  0.214
Pr  0.667  0.333  0.453

Values from the calculation:
energy relative to the elements: 0.667 eV per atom
spin magnetization: 0.00 μB per atom
DFT total energy: -3.45 eV/atom
SG: R-3m (166)

***

Record 6
Material: AcPr2Nd
Method: DFT, PBE
State: optimized geometry

a = 3.796 Å, b = 5.319 Å, c = 7.536 Å
α = 90.00°, β = 90.00°, γ = 90.00°
Fractional coordinates of all 4 atoms:
Ac  0.000  0.000  0.000
Pr  0.500  0.500  0.259
Pr  0.500  0.500  0.741
Nd  0.000  0.000  0.500

Values from the calculation:
energy relative to the elements: 0.023 eV per atom
spin magnetization: 0.00 μB per atom
DFT total energy: -4.59 eV/atom
SG: Pmmm (47)